[1]
LaCdAs | the Alexandria database | PBE | relaxed; formation enthalpy at 0 K = -549 meV per atom; raw total energy = -4.0464 eV per atom
1.0
-4.7235 -0.7447 -1.3390
-1.5762 -4.5783 -1.1017
-3.1080 -2.3616 3.0695
Cd La As
1 1 1
Cartesian
0.0000 0.0000 0.0000
-4.7039 -3.8423 0.3144
-7.0558 -5.7635 0.4716


[2]
La2CdAs | the Alexandria database | PBE | relaxed; formation enthalpy at 0 K = -680 meV per atom; raw total energy = -4.5346 eV per atom
1.0
-2.6789 3.0324 -3.8706
-5.3191 -0.9161 1.4906
4.1100 1.7942 3.3529
La Cd As
2 1 1
Cartesian
-0.0004 0.0001 -0.0001
-3.9986 1.0580 -1.1899
-2.6040 0.9681 1.8268
-1.2839 2.9423 -0.8539


[3]
LaCdAs2 | the Alexandria database | PBE | relaxed; formation enthalpy at 0 K = -688 meV per atom; raw total energy = -4.4738 eV per atom
1.0
4.8051 0.0000 0.0000
0.0000 4.0545 0.0027
0.0000 -0.0030 4.8064
As La Cd
2 1 1
Cartesian
2.4025 0.5021 1.8027
0.0000 0.5025 4.2056
2.4025 2.5286 4.2075
0.0000 2.5411 1.8042


[4]
La2Cd2As | the Alexandria database | PBE | relaxed; formation enthalpy at 0 K = -422 meV per atom; raw total energy = -3.6889 eV per atom
1.0
-6.5694 -2.1389 -3.7859
3.3433 -6.8702 -1.9201
-1.8084 -2.0864 4.3166
Cd As La
4 2 4
Cartesian
-2.2321 -8.3211 -1.9157
-2.8023 -2.7745 0.5263
0.3162 -5.7385 0.4001
-5.3506 -5.3570 -1.7895
0.0000 0.0000 0.0000
-1.6130 -4.5045 -2.8530
-3.8019 -2.5138 -2.8077
0.0825 -2.6766 -1.2592
-3.3085 -6.3325 -4.4468
0.5758 -6.4953 -2.8982


[5]
Na2LaCdAs | the Alexandria database | PBE | relaxed; formation enthalpy at 0 K = 124 meV per atom; raw total energy = -2.5025 eV per atom
1.0
5.1856 0.0000 0.0000
0.0000 5.5049 0.0000
0.0000 0.0000 5.1856
As Na La Cd
1 2 1 1
Cartesian
0.0000 2.7525 0.0000
2.5928 0.0000 0.0000
0.0000 0.0000 2.5928
2.5928 2.7525 2.5928
0.0000 0.0000 0.0000


[6]
La2CdNi4As3 | the Alexandria database | PBE | relaxed; formation enthalpy at 0 K = -716 meV per atom; raw total energy = -5.5000 eV per atom
1.0
-0.4904 -2.9044 -3.0250
1.5756 -2.9501 2.5771
-9.2456 -1.9734 3.3937
Ni As La Cd
4 3 2 1
Cartesian
-6.1803 -2.7190 0.6660
0.5426 -2.9273 -0.2240
-2.5227 -2.1817 2.5037
0.0000 0.0000 0.0000
-8.3409 -3.1802 1.4591
-0.3620 -1.7205 1.7106
-4.6228 -0.9867 1.6968
-6.2931 -2.9865 3.8877
-2.4099 -1.9143 -0.7180
-4.0802 -3.9140 1.4729


[7]
La2CdNi3As4 | the Alexandria database | PBE | relaxed; formation enthalpy at 0 K = -751 meV per atom; raw total energy = -5.4221 eV per atom
1.0
-1.3485 4.1026 -0.2350
-0.5828 0.0539 4.2852
9.4684 3.1836 1.2476
La As Cd Ni
2 4 1 3
Cartesian
1.5416 2.7964 0.1745
6.9611 2.4655 3.0982
2.9748 1.1252 2.5730
0.0000 0.0000 0.0000
-0.9656 2.0783 2.0251
5.5280 4.1367 0.6997
3.7686 3.6701 2.6489
7.7856 4.8958 0.9972
4.7342 1.5918 0.6238
0.7172 0.3661 2.2755


[8]
LaCdNiAs2 | the Alexandria database | PBE | relaxed; formation enthalpy at 0 K = 133 meV per atom; raw total energy = -4.0518 eV per atom
1.0
-3.1603 3.6985 1.6427
-3.5458 -1.5260 -3.3858
-1.7825 -2.9408 3.1920
As Cd La Ni
2 1 1 1
Cartesian
-1.5802 1.8493 0.8213
-1.7729 -0.7630 -1.6929
0.0000 0.0000 0.0000
-4.2443 -0.3841 0.7244
-0.8912 -1.4704 1.5960